Entry 1:
Density functional theory data (PBE) for PmDyCuAu after structural relaxation.

```
PmDyCuAu
1.0
4.583 0.000 0.000
0.000 1.910 5.461
0.000 -1.910 5.461
Pm Dy Cu Au
1 1 1 1
Cartesian
0.000 0.000 0.000
2.291 0.000 3.043
2.291 0.000 6.140
0.000 0.000 7.854
```

Computed properties:
Formation energy   -2.119 eV per formula unit
E   -18.8 eV/cell
Offset from the most stable computed form   0.000 eV/atom

Entry 2:
Density functional theory data (PBE) for Sm3HoIn after structural relaxation.

```
Sm3HoIn
1.0
2.439 -12.709 0.000
2.439 12.709 0.000
0.000 0.000 4.883
Sm Ho In
6 2 2
Cartesian
2.439 11.361 3.662
2.439 6.374 3.662
2.439 1.344 3.662
2.439 -1.344 1.221
2.439 -6.374 1.221
2.439 -11.361 1.221
2.439 8.874 1.221
2.439 -8.874 3.662
2.439 3.894 1.221
2.439 -3.894 3.662
```

Computed properties:
Formation energy   -0.947 eV per formula unit
E   -44.8 eV/cell
Offset from the most stable computed form   0.000 eV/atom

Entry 3:
Density functional theory data (PBE) for ScP3Pt after structural relaxation.

```
ScP3Pt
1.0
4.812 0.000 0.000
0.000 4.812 0.000
0.000 0.000 4.812
Sc P Pt
1 3 1
Cartesian
0.000 0.000 0.000
0.000 0.000 2.406
0.000 2.406 0.000
2.406 0.000 0.000
2.406 2.406 2.406
```

Computed properties:
Formation energy   4.400 eV per formula unit
E   -24.2 eV/cell
Offset from the most stable computed form   0.563 eV/atom

Entry 4:
Density functional theory data (PBE) for NpSb after structural relaxation.

```
NpSb
1.0
2.111 -5.540 0.000
2.111 5.540 0.000
0.000 0.000 4.129
Np Sb
2 2
Cartesian
2.111 4.877 3.097
2.111 -4.877 1.032
2.111 1.676 3.097
2.111 -1.676 1.032
```

Computed properties:
E   -34.6 eV/cell
Offset from the most stable computed form   0.107 eV/atom
Uncorrected formation energy   -13 kJ/mol of atoms

Entry 5:
Density functional theory data (PBE) for Li3PH after structural relaxation.

```
Li3PH
1.0
3.829 0.000 0.000
0.000 3.829 0.000
0.000 0.000 3.829
Li P H
3 1 1
Cartesian
0.000 0.000 1.915
0.000 1.915 0.000
1.915 0.000 0.000
1.915 1.915 1.915
0.000 0.000 0.000
```

Computed properties:
E   -16.7 eV/cell
Offset from the most stable computed form   0.000 eV/atom

Entry 6:
Density functional theory data (PBE) for Zr2HPb2 after structural relaxation.

```
Zr2HPb2
1.0
1.709 -7.741 0.000
1.709 7.741 0.000
0.000 0.000 7.982
Zr H Pb
4 2 4
Cartesian
1.709 7.022 3.991
1.709 1.888 2.459
1.709 -1.888 6.450
1.709 -7.022 0.000
1.709 6.858 6.123
1.709 -6.858 2.132
1.709 3.549 7.794
1.709 1.397 5.435
1.709 -1.397 1.444
1.709 -3.549 3.803
```

Computed properties:
E   -57.4 eV/cell
Offset from the most stable computed form   0.000 eV/atom

Entry 7:
Density functional theory data (PBE) for TbDyIn after structural relaxation.

```
TbDyIn
1.0
4.620 0.000 0.000
0.000 4.620 0.000
0.000 0.000 8.349
Tb Dy In
2 2 2
Cartesian
1.155 3.465 0.000
3.465 1.155 0.000
1.155 1.155 2.950
3.465 3.465 5.398
1.155 1.155 6.073
3.465 3.465 2.276
```

Computed properties:
Formation energy   -0.781 eV per formula unit
E   -25.5 eV/cell
Offset from the most stable computed form   0.052 eV/atom

Entry 8:
Density functional theory data (PBE) for Mg2PdRuW after structural relaxation.

```
Mg2PdRuW
1.0
5.135 0.000 0.000
0.000 5.135 0.000
0.000 0.000 4.490
Mg Pd Ru W
2 1 1 1
Cartesian
0.000 2.567 0.000
2.567 0.000 0.000
0.000 0.000 2.245
2.567 2.567 2.245
2.567 2.567 0.000
```

Computed properties:
Formation energy   6.615 eV per formula unit
E   -24.0 eV/cell

Entry 9:
Density functional theory data (PBE) for Pr8Rh3Br4N after structural relaxation.

```
Pr8Rh3Br4N
1.0
4.064 2.346 7.846
-4.064 2.346 7.846
0.000 -4.692 7.846
Pr Rh Br N
8 3 4 1
Cartesian
0.000 0.000 5.495
-1.887 -1.089 13.250
0.000 -2.179 10.288
-1.887 1.089 10.288
1.887 -1.089 13.250
0.000 2.179 13.250
1.887 1.089 10.288
0.000 0.000 18.044
-4.064 0.000 11.769
-2.032 1.173 3.923
2.032 1.173 3.923
0.000 0.000 0.000
-2.032 -1.173 7.846
-2.032 1.173 15.692
0.000 2.346 7.846
0.000 0.000 11.769
```

Computed properties:
E   -92.4 eV/cell
Uncorrected formation energy   -103 kJ/mol of atoms

Entry 10:
Density functional theory data (PBE) for Hf5BiPt after structural relaxation.

```
Hf5BiPt
1.0
4.765 -3.677 0.000
4.765 3.677 0.000
-4.322 0.000 9.365
Hf Bi Pt
10 2 2
Cartesian
-3.136 0.853 9.360
-1.195 0.812 7.116
1.524 2.336 7.024
-0.976 -0.853 4.677
0.965 -0.812 2.433
4.243 0.812 6.932
6.184 0.853 4.688
3.685 -2.336 2.341
6.404 -0.812 2.249
8.345 -0.853 0.005
3.685 0.655 2.341
1.524 -0.655 7.024
0.222 1.839 4.682
2.383 -1.839 0.000
```

Computed properties:
Formation energy   -0.193 eV per formula unit
E   -119.8 eV/cell

Entry 11:
Density functional theory data (PBE) for TbEr3C2 after structural relaxation.

```
TbEr3C2
1.0
6.189 -3.573 0.000
6.189 3.573 0.000
-4.135 0.000 6.083
Tb Er C
2 6 4
Cartesian
2.063 0.000 1.379
6.180 0.000 4.704
5.153 1.792 1.322
-0.014 0.000 4.761
3.089 1.792 4.761
5.153 -1.792 1.322
8.256 0.000 1.321
3.089 -1.792 4.761
0.000 0.000 0.000
3.094 1.787 0.000
3.094 -1.787 0.000
6.189 0.000 0.000
```

Computed properties:
Formation energy   -1.830 eV per formula unit
E   -77.2 eV/cell

Entry 12:
Density functional theory data (PBE) for ZrNi4Te after structural relaxation.

```
ZrNi4Te
1.0
0.000 3.497 3.497
3.497 0.000 3.497
3.497 3.497 0.000
Zr Ni Te
1 4 1
Cartesian
0.000 0.000 0.000
4.380 2.615 2.615
2.615 4.380 2.615
2.615 2.615 4.380
4.380 4.380 4.380
1.749 1.749 1.749
```

Computed properties:
E   -36.2 eV/cell
Uncorrected formation energy   -21 kJ/mol of atoms

Entry 13:
Density functional theory data (PBE) for LiTe2Cl after structural relaxation.

```
LiTe2Cl
1.0
-2.067 2.067 8.487
2.067 -2.067 8.487
2.067 2.067 -8.487
Li Te Cl
1 2 1
Cartesian
0.000 0.000 0.000
2.067 0.000 4.243
0.000 2.067 4.243
0.000 0.000 8.487
```

Computed properties:
E   -12.4 eV/cell
Offset from the most stable computed form   0.132 eV/atom
Uncorrected formation energy   -57 kJ/mol of atoms

Entry 14:
Density functional theory data (PBE) for Ce2Ga3Ru after structural relaxation.

```
Ce2Ga3Ru
1.0
0.000 4.531 7.657
3.589 0.000 7.657
3.589 4.531 0.000
Ce Ga Ru
4 6 2
Cartesian
5.469 4.531 7.657
1.795 2.266 3.829
5.384 6.797 11.486
1.709 4.531 7.657
3.589 2.275 6.370
3.589 4.531 5.043
3.589 2.275 8.945
3.589 6.788 6.370
3.589 4.531 10.271
3.589 6.788 8.945
3.589 4.531 2.439
3.589 4.531 12.876
```

Computed properties:
Formation energy   -3.223 eV per formula unit
E   -66.9 eV/cell

Entry 15:
Density functional theory data (PBE) for NaCa2In after structural relaxation.

```
NaCa2In
1.0
1.857 1.072 12.822
-1.857 1.072 12.822
0.000 -2.144 12.822
Na Ca In
1 2 1
Cartesian
0.000 0.000 0.000
0.000 0.000 16.004
0.000 0.000 22.462
0.000 0.000 19.233
```

Computed properties:
Formation energy   0.552 eV per formula unit
E   -7.5 eV/cell

Entry 16:
Density functional theory data (PBE) for SrP5 after structural relaxation.

```
SrP5
1.0
2.640 -6.184 0.000
2.640 6.184 0.000
0.000 0.000 3.446
Sr P
1 5
Cartesian
0.000 0.000 0.000
2.640 3.229 1.723
2.640 1.740 0.000
2.640 0.000 1.723
2.640 -1.740 0.000
2.640 -3.229 1.723
```

Computed properties:
Formation energy   -0.630 eV per formula unit
E   -29.4 eV/cell

Entry 17:
Density functional theory data (PBE) for OsPbSN2 after structural relaxation.

```
OsPbSN2
1.0
3.921 0.000 0.000
0.000 3.921 0.000
0.000 0.000 5.149
Os Pb S N
1 1 1 2
Cartesian
0.000 0.000 0.000
1.960 1.960 2.575
0.000 0.000 2.575
0.000 1.960 0.000
1.960 0.000 0.000
```

Computed properties:
E   -33.2 eV/cell
Offset from the most stable computed form   0.000 eV/atom
Uncorrected formation energy   48 kJ/mol of atoms

Entry 18:
Density functional theory data (PBE) for ErThTc after structural relaxation.

```
ErThTc
1.0
-1.735 1.735 6.405
1.735 -1.735 6.405
1.735 1.735 -6.405
Er Th Tc
1 1 1
Cartesian
0.000 0.000 0.000
0.000 0.000 3.386
0.000 0.000 8.145
```

Computed properties:
Formation energy   -0.293 eV per formula unit
E   -22.6 eV/cell
Offset from the most stable computed form   0.000 eV/atom

Entry 19:
Density functional theory data (PBE) for SrNiW2 after structural relaxation.

```
SrNiW2
1.0
3.271 0.000 0.000
0.000 3.211 0.000
-0.241 0.000 7.545
Sr Ni W
1 1 2
Cartesian
0.000 0.000 0.000
1.635 1.606 2.278
0.030 0.000 3.627
1.464 1.606 4.983
```

Computed properties:
Formation energy   2.278 eV per formula unit
E   -31.1 eV/cell
Offset from the most stable computed form   0.000 eV/atom

Entry 20:
Density functional theory data (PBE) for Te2IrBr after structural relaxation.

```
Te2IrBr
1.0
4.042 -5.512 0.000
4.042 5.512 0.000
-1.561 0.000 5.449
Te Ir Br
4 2 2
Cartesian
1.693 1.201 0.474
0.912 -1.201 3.199
5.611 1.201 2.251
4.831 -1.201 4.975
3.652 5.484 1.362
2.872 -5.484 4.087
2.872 1.447 4.087
3.652 -1.447 1.362
```

Computed properties:
E   -33.8 eV/cell
Offset from the most stable computed form   0.246 eV/atom
Uncorrected formation energy   -2 kJ/mol of atoms